Computed, not measured: Zn2CoHg after structural relaxation at the GGA-PBEsol level of DFT.

Energy relative to the elements (eV/atom): 0.060
Raw total energy (eV per atom): -2.81

Cell lengths 2.879, 2.879, 7.065 Å; angles 90.00, 90.00, 90.00 degrees
Space group P4/mmm (No. 123)
Asymmetric unit:
Zn (0.000, 0.000, 0.194)
Co (0.500, 0.500, 0.000)
Hg (0.500, 0.500, 0.500)